Entry from the Alexandria database: a relaxed AlTc2Hg crystal (PBE).

The structure in CIF format:
```
data_AlTc2Hg
_cell_length_a 5.761
_cell_length_b 5.761
_cell_length_c 5.761
_cell_angle_alpha 101.92
_cell_angle_beta 101.92
_cell_angle_gamma 125.93
_symmetry_space_group_name_H-M 'P 1'
_symmetry_Int_Tables_number 1
loop_
_symmetry_equiv_pos_as_xyz
'x,y,z'
loop_
_atom_site_label
_atom_site_type_symbol
_atom_site_fract_x
_atom_site_fract_y
_atom_site_fract_z
_atom_site_occupancy
Al1 Al 0.000 0.000 0.000 1
Al2 Al 0.750 0.250 0.500 1
Tc1 Tc 0.095 0.625 0.970 1
Tc2 Tc 0.375 0.345 0.470 1
Tc3 Tc 0.655 0.125 0.030 1
Tc4 Tc 0.875 0.905 0.530 1
Hg1 Hg 0.250 0.750 0.500 1
Hg2 Hg 0.500 0.500 0.000 1
```

Summary:
- Calculated volume: 138 Å³/cell
- DFT total energy: -5.5115 eV/atom
- Distance to the lowest polymorph of the same formula: 665 meV per atom